Record 1
Below is a geometry-optimized Sr2CaTe structure, with properties calculated at the GGA-PBE level.

Unit cell a=5.846 b=5.846 c=4.588 alpha=90.00 beta=90.00 gamma=90.00
Space group P4/mmm (No. 123)
One atom of each set of equivalent atoms:
Sr 0.000 0.500 0.000 (multiplicity 2)
Ca 0.000 0.000 0.500 (multiplicity 1)
Te 0.500 0.500 0.500 (multiplicity 1)

Its density is 3.63 Mg/m³. As for the density of states at the Fermi level: 4.74 states/eV/cell. The formation energy without anion corrections is -0.5125 eV per atom.

Record 2
Below is a geometry-optimized Sr2CaTe structure, with properties calculated at the GGA-PBE level.

Unit cell a=5.008 b=5.008 c=12.666 alpha=90.00 beta=90.00 gamma=90.00
Space group I-4m2 (No. 119)
One atom of each set of equivalent atoms:
Sr 0.000 0.000 0.000 (multiplicity 2)
Sr 0.000 0.500 0.250 (multiplicity 2)
Ca 0.000 0.000 0.500 (multiplicity 2)
Te 0.000 0.500 0.750 (multiplicity 2)

Its density is 3.58 Mg/m³. As for the density of states at the Fermi level: 3.08 states/eV/cell. The formation energy without anion corrections is -0.5629 eV per atom.

Record 3
Below is a geometry-optimized Sr2CaTe3 structure, with properties calculated at the GGA-PBE level.

Unit cell a=4.673 b=6.630 c=14.035 alpha=90.00 beta=90.00 gamma=90.00
Space group Immm (No. 71)
One atom of each set of equivalent atoms:
Sr 0.000 0.000 0.168 (multiplicity 4)
Ca 0.000 0.000 0.500 (multiplicity 2)
Te 0.000 0.500 0.159 (multiplicity 4)
Te 0.000 0.500 0.500 (multiplicity 2)

Its density is 4.57 Mg/m³. As for the density of states at the Fermi level: 0.00 states/eV/cell. The formation energy without anion corrections is -1.7058 eV per atom.